This record from Alexandria describes a relaxed Hf4Cu3Rh crystal. The functional is PBE-GGA.

Calculated values
The total energy comes out at -7.74 eV/atom.

a = 3.3119 Å, b = 4.5507 Å, c = 9.0890 Å
α = 90.00°, β = 90.00°, γ = 90.00°
With the nearest neighbours (Å) after each atom.
Space group Pmmm (No. 47)
Unique sites:
Hf (0.0000, 0.0000, 0.0000)  4 Rh 2.81, 4 Cu 2.86
Hf (0.0000, 0.0000, 0.5000)  8 Cu 2.77-2.81
Hf (0.0000, 0.5000, 0.2486)  2 Rh 2.80, 6 Cu 2.82
Cu (0.5000, 0.0000, 0.2564)  8 Hf 2.77-2.86
Cu (0.5000, 0.5000, 0.5000)  8 Hf 2.81-2.82
Rh (0.5000, 0.5000, 0.0000)  8 Hf 2.80-2.81